Entry from the Alexandria database: a relaxed LaTa3O9 crystal (GGA-PBE).

a b c (Å): 5.518 7.661 8.315
angles (deg): 90.00 92.34 90.00
Fractional coordinates of all 26 atoms:
O (0.268, 0.535, 0.469)
O (0.161, 0.552, 0.790)
O (0.312, 0.542, 0.125)
O (0.924, 0.750, 0.015)
O (0.446, 0.250, 0.314)
O (0.161, 0.948, 0.790)
O (0.076, 0.250, 0.985)
O (0.554, 0.750, 0.686)
O (0.363, 0.250, 0.664)
O (0.688, 0.042, 0.875)
O (0.312, 0.958, 0.125)
O (0.839, 0.052, 0.210)
O (0.839, 0.448, 0.210)
O (0.688, 0.458, 0.875)
O (0.732, 0.035, 0.531)
O (0.268, 0.965, 0.469)
O (0.637, 0.750, 0.336)
O (0.732, 0.465, 0.531)
La (0.966, 0.750, 0.566)
La (0.034, 0.250, 0.434)
Ta (0.474, 0.006, 0.698)
Ta (0.474, 0.494, 0.698)
Ta (0.000, 0.500, 0.000)
Ta (0.000, 0.000, 0.000)
Ta (0.526, 0.506, 0.302)
Ta (0.526, 0.994, 0.302)

Summary:
Its excess energy over the best structure of this formula in the dataset is 0.00 kcal/mol of atoms. The symmetry is No. 11. The value obtained for the total energy is -9.5987 eV per atom. Its energy relative to the elements, uncorrected is -3828 kJ/mol of formula units.